Compound: Hf2NpTc
Source: Alexandria via LeMat-Bulk
Functional: GGA-PBE
Structure: relaxed Values from VASP.

Calculated values
formation enthalpy at 0 K = -27 meV/atom
total energy = -0.7960 Ry/atom
space group = P4/mmm (123)

```
&SYSTEM
  ibrav = 0, nat = 4, ntyp = 3
/
ATOMIC_SPECIES
Hf 178.49 Hf.upf
Np 237.00 Np.upf
Tc 98.00 Tc.upf
CELL_PARAMETERS angstrom
3.227 0.000 0.000
0.000 3.227 0.000
0.000 0.000 7.792
ATOMIC_POSITIONS crystal
Hf 0.000 0.000 0.205
Hf 0.000 0.000 0.795
Np 0.500 0.500 0.500
Tc 0.500 0.500 0.000
```